# 1
First-principles (PBE) data for crystalline CsLa3Pb at its relaxed geometry, as listed in the Alexandria database.

Total moment (μB per formula unit): 0.00
Crystal system: cubic
E above lowest polymorph (meV per atom): 508
N(E_F) (states/eV/atom): 0.7800
Energy of formation (meV per atom): 793
Calculated volume (Å³ per cell): 200
E (eV for the cell shown): -15.381

a b c (Å): 5.848 5.848 5.848
angles (deg): 90.00 90.00 90.00
Atoms (fractional coordinates):
La 0.000 0.500 0.000
La 0.000 0.000 0.500
La 0.500 0.000 0.000
Pb 0.500 0.500 0.500
Cs 0.000 0.000 0.000



# 2
First-principles (PBE) data for crystalline RbLiAl at its relaxed geometry, as listed in the Alexandria database.

Total moment (μB per formula unit): 0.00
Crystal system: triclinic
E above lowest polymorph (meV per atom): 0
N(E_F) (states/eV/atom): 0.4110
Energy of formation (meV per atom): 19
Calculated volume (Å³ per cell): 221
E (eV for the cell shown): -13.135

a b c (Å): 4.536 4.534 12.382
angles (deg): 89.63 89.44 60.00
Atoms (fractional coordinates):
Al 0.166 0.667 0.512
Al 0.834 0.333 0.488
Li 0.503 0.000 0.395
Li 0.497 0.000 0.605
Rb 0.176 0.669 0.177
Rb 0.824 0.331 0.823



# 3
First-principles (PBE) data for crystalline CaZnFe2Tc at its relaxed geometry, as listed in the Alexandria database.

Total moment (μB per formula unit): 4.48
Crystal system: tetragonal
N(E_F) (states/eV/atom): 1.6196
Energy of formation (meV per atom): 682
Calculated volume (Å³ per cell): 102
E (eV for the cell shown): -27.159

a b c (Å): 4.539 4.539 4.928
angles (deg): 90.00 90.00 90.00
Each line ends with the local moment (μB).
Atoms (fractional coordinates):
Fe 0.000 0.500 0.000  2.28
Fe 0.500 0.000 0.000  2.28
Zn 0.000 0.000 0.500  0.01
Ca 0.500 0.500 0.500  -0.03
Tc 0.000 0.000 0.000  -0.10



# 4
First-principles (PBE) data for crystalline CePm7Tl5 at its relaxed geometry, as listed in the Alexandria database.

Total moment (μB per formula unit): 1.34
Crystal system: orthorhombic
N(E_F) (states/eV/atom): 1.5534
Energy of formation (meV per atom): -159
Calculated volume (Å³ per cell): 409
E (eV for the cell shown): -53.085

a b c (Å): 6.740 8.492 8.492
angles (deg): 79.47 66.62 66.62
Each line ends with the local moment (μB).
Atoms (fractional coordinates):
Tl 0.746 0.754 0.754  -0.01
Tl 0.513 0.482 0.000  -0.01
Tl 0.005 0.000 0.482  -0.01
Tl 0.513 0.000 0.482  -0.01
Tl 0.005 0.482 0.000  -0.01
Pm 0.634 0.366 0.366  0.00
Pm 0.516 0.172 0.796  0.01
Pm 0.000 0.336 0.664  0.01
Pm 0.000 0.664 0.336  0.01
Pm 0.272 0.228 0.228  -0.01
Pm 0.309 0.691 0.691  0.01
Pm 0.516 0.796 0.172  0.01
Ce 0.969 0.031 0.031  1.05



# 5
First-principles (PBE) data for crystalline NaIn2GaRu at its relaxed geometry, as listed in the Alexandria database.

Total moment (μB per formula unit): 0.00
Crystal system: tetragonal
N(E_F) (states/eV/atom): 0.3895
Energy of formation (meV per atom): -93
Calculated volume (Å³ per cell): 130
E (eV for the cell shown): -19.566

a b c (Å): 5.176 5.176 4.855
angles (deg): 90.00 90.00 90.00
Atoms (fractional coordinates):
Ga 0.000 0.000 0.500
In 0.000 0.500 0.000
In 0.500 0.000 0.000
Na 0.500 0.500 0.500
Ru 0.000 0.000 0.000



# 6
First-principles (PBE) data for crystalline Li2CoSb at its relaxed geometry, as listed in the Alexandria database.

Total moment (μB per formula unit): 0.82
Crystal system: monoclinic
Formation energy from raw total energies (meV per atom): 1
N(E_F) (states/eV/atom): 0.7463
Calculated volume (Å³ per cell): 64
E (eV for the cell shown): -15.050

a b c (Å): 4.437 5.321 3.111
angles (deg): 76.47 81.96 112.09
Each line ends with the local moment (μB).
Atoms (fractional coordinates):
Sb 0.000 0.500 0.500  0.02
Li 0.500 0.000 0.500  -0.02
Li 0.000 0.000 0.000  -0.02
Co 0.500 0.500 0.000  0.93



# 7
First-principles (PBE) data for crystalline K3SmCl6 at its relaxed geometry, as listed in the Alexandria database.

Total moment (μB per formula unit): 0.00
Crystal system: monoclinic
Formation energy from raw total energies (meV per atom): -2126
N(E_F) (states/eV/atom): 0.0000
Calculated volume (Å³ per cell): 662
E (eV for the cell shown): -80.703

a b c (Å): 7.588 8.034 10.862
angles (deg): 90.00 88.71 90.00
Atoms (fractional coordinates):
Cl 0.829 0.723 0.920
Cl 0.366 0.561 0.730
Cl 0.634 0.439 0.270
Cl 0.671 0.223 0.580
Cl 0.134 0.061 0.770
Cl 0.286 0.818 0.059
Cl 0.786 0.682 0.559
Cl 0.714 0.182 0.941
Cl 0.866 0.939 0.230
Cl 0.214 0.318 0.441
Cl 0.329 0.777 0.420
Cl 0.171 0.277 0.080
Sm 0.000 0.000 0.000
Sm 0.500 0.500 0.500
K 0.472 0.072 0.242
K 0.528 0.928 0.758
K 0.000 0.000 0.500
K 0.972 0.428 0.742
K 0.500 0.500 0.000
K 0.028 0.572 0.258



# 8
First-principles (PBE) data for crystalline Ho3Si2Rh2 at its relaxed geometry, as listed in the Alexandria database.

Total moment (μB per formula unit): 0.00
Crystal system: orthorhombic
Formation energy from raw total energies (meV per atom): -963
N(E_F) (states/eV/atom): 0.6302
Calculated volume (Å³ per cell): 560
E (eV for the cell shown): -184.105

a b c (Å): 5.554 7.713 13.061
angles (deg): 90.00 90.00 90.00
Atoms (fractional coordinates):
Ho 0.861 0.106 0.102
Ho 0.139 0.894 0.898
Ho 0.631 0.745 0.250
Ho 0.139 0.894 0.602
Ho 0.861 0.106 0.398
Ho 0.861 0.394 0.602
Ho 0.139 0.606 0.398
Ho 0.631 0.755 0.750
Ho 0.369 0.245 0.250
Ho 0.369 0.255 0.750
Ho 0.139 0.606 0.102
Ho 0.861 0.394 0.898
Rh 0.633 0.464 0.409
Rh 0.367 0.964 0.409
Rh 0.633 0.464 0.091
Rh 0.633 0.036 0.909
Rh 0.367 0.536 0.591
Rh 0.367 0.964 0.091
Rh 0.633 0.036 0.591
Rh 0.367 0.536 0.909
Si 0.138 0.893 0.250
Si 0.367 0.250 0.500
Si 0.138 0.607 0.750
Si 0.367 0.250 0.000
Si 0.633 0.750 0.500
Si 0.862 0.107 0.750
Si 0.862 0.393 0.250
Si 0.633 0.750 0.000